# 1
Ce2SbC | PBE-GGA | relaxed

Properties
density of states at the Fermi level = 4.82 states/eV/cell
formation energy (no corrections) = -182.5 kJ/mol of formula units

Lattice parameters (Å, degrees): 3.8763 3.8763 7.5969 75.22 75.22 60.00
With the nearest neighbours (Å) after each atom.
Sites, in units of the cell vectors:
Sb  0.0000  0.0000  0.0000  6 Ce 3.17
C  0.5000  0.5000  0.5000  6 Ce 2.63
Ce  0.7699  0.7699  0.6904  3 C 2.63
Ce  0.2301  0.2301  0.3096  3 C 2.63

# 2
TaFeTe2 | PBE-GGA | relaxed

Properties
density of states at the Fermi level = 4.23 states/eV/cell
formation energy (no corrections) = 267.8 kJ/mol of formula units

Lattice parameters (Å, degrees): 3.5381 5.4092 4.3047 90.00 90.00 90.00
With the nearest neighbours (Å) after each atom.
Sites, in units of the cell vectors:
Fe  0.5000  0.0000  0.5000  4 Te 2.79
Ta  0.0000  0.5000  0.5000  4 Te 2.79
Te  0.0000  0.0000  0.0000  4 Fe 2.79
Te  0.5000  0.5000  0.0000  4 Ta 2.79

# 3
Cs5VBr8 | PBE-GGA | relaxed

Properties
formation energy (no corrections) = -1967.8 kJ/mol of formula units

Lattice parameters (Å, degrees): 9.9245 9.9245 9.9245 97.94 115.53 115.53
With the nearest neighbours (Å) after each atom.
Sites, in units of the cell vectors:
Cs  0.5791  0.5936  0.7601  5 Br 3.53-3.78
Cs  0.1665  0.9855  0.4064  5 Br 3.53-3.78
Cs  0.4209  0.1810  0.0145  5 Br 3.53-3.78
Cs  0.0000  0.5000  0.5000  4 Br 3.58
Cs  0.8335  0.2399  0.8190  5 Br 3.53-3.78
V  0.5000  0.7500  0.2500  4 Br 2.39
Br  0.3165  0.4627  0.1670  1 V 2.39
Br  0.7043  0.8538  0.5373  1 V 2.39
Br  0.8280  0.5071  0.1036  4 Cs 3.53-3.72
Br  0.5965  0.3209  0.4929  4 Cs 3.53-3.72
Br  0.4035  0.8964  0.7244  4 Cs 3.53-3.72
Br  0.2957  0.8330  0.1495  1 V 2.39
Br  0.6835  0.8505  0.1462  1 V 2.39
Br  0.1720  0.2756  0.6791  4 Cs 3.53-3.72

# 4
NdTmGa2 | PBE-GGA | relaxed

Properties
relative energy among the computed polymorphs = 0.026 eV/atom
density of states at the Fermi level = 1.75 states/eV/cell
formation enthalpy at 0 K = -0.57 eV/atom

Lattice parameters (Å, degrees): 3.6131 3.6131 7.1925 90.00 90.00 90.00
With the nearest neighbours (Å) after each atom.
Sites, in units of the cell vectors:
Tm  0.5000  0.5000  0.0000  8 Ga 3.05
Nd  0.5000  0.5000  0.5000  8 Ga 3.21
Ga  0.0000  0.0000  0.7695  4 Tm 3.05, 4 Nd 3.21, 1 Ga 3.32
Ga  0.0000  0.0000  0.2305  4 Tm 3.05, 4 Nd 3.21, 1 Ga 3.32

# 5
MgSe2Br | PBE-GGA | relaxed

Properties
relative energy among the computed polymorphs = 0.267 eV/atom
density of states at the Fermi level = 0.26 states/eV/cell
formation energy (no corrections) = -151.8 kJ/mol of formula units

Lattice parameters (Å, degrees): 4.0417 4.0417 7.8222 90.00 90.00 108.31
With the nearest neighbours (Å) after each atom.
Sites, in units of the cell vectors:
Br  0.0000  0.0000  0.5852  2 Mg 2.81
Mg  0.5000  0.5000  0.7788  1 Se 2.62, 2 Br 2.81
Se  0.0000  0.0000  0.0228  2 Se 2.47
Se  0.5000  0.5000  0.1133  2 Se 2.47, 1 Mg 2.62

# 6
SrHg2AsC | PBE-GGA | relaxed

Properties
density of states at the Fermi level = 2.32 states/eV/cell
formation enthalpy at 0 K = 0.59 eV/atom

Lattice parameters (Å, degrees): 4.9659 4.6667 4.9659 90.00 90.00 90.00
With the nearest neighbours (Å) after each atom.
Sites, in units of the cell vectors:
C  0.0000  0.0000  0.0000  2 As 2.33, 4 Hg 2.48
Sr  0.5000  0.5000  0.5000  8 Hg 3.41, 4 As 3.51
As  0.0000  0.5000  0.0000  2 C 2.33
Hg  0.0000  0.0000  0.5000  2 C 2.48
Hg  0.5000  0.0000  0.0000  2 C 2.48

Repeat the second record exactly.
TaFeTe2 | PBE-GGA | relaxed

Properties
density of states at the Fermi level = 4.23 states/eV/cell
formation energy (no corrections) = 267.8 kJ/mol of formula units

Lattice parameters (Å, degrees): 3.5381 5.4092 4.3047 90.00 90.00 90.00
With the nearest neighbours (Å) after each atom.
Sites, in units of the cell vectors:
Fe  0.5000  0.0000  0.5000  4 Te 2.79
Ta  0.0000  0.5000  0.5000  4 Te 2.79
Te  0.0000  0.0000  0.0000  4 Fe 2.79
Te  0.5000  0.5000  0.0000  4 Ta 2.79